Density functional theory data (GGA-PBE) for an optimized crystal structure of Pm2Er2In5.

Lattice parameters (Å, degrees): 8.0325 7.9884 9.1463 115.89 90.00 90.00
Atoms (fractional coordinates):
In  0.8609  0.5117  0.7422
In  0.0000  0.0000  0.0000
In  0.1391  0.4883  0.2578
In  0.1391  0.2305  0.7422
In  0.6391  0.0117  0.7422
In  0.6391  0.2695  0.2578
In  0.3609  0.9883  0.2578
In  0.8609  0.7695  0.2578
In  0.3609  0.7305  0.7422
In  0.5000  0.5000  0.0000
Er  0.8415  0.3430  0.0000
Er  0.6585  0.8430  0.0000
Er  0.1585  0.6570  0.0000
Er  0.3415  0.1570  0.0000
Pm  0.0000  0.8010  0.6020
Pm  0.5000  0.3010  0.6020
Pm  0.0000  0.1990  0.3980
Pm  0.5000  0.6990  0.3980

Results
Magnetic moment in μB per atom: 0.000
E_form in eV per atom: -0.2899
E in eV/atom: -3.881